Entry 1:
Material: ZnPbSe2
Method: DFT, GGA-PBE
State: optimized geometry

space-group type = Pm, No. 6

a b c (Å): 4.249 4.076 6.679
angles (deg): 74.16 90.00 90.00
Fractional coordinates of all 4 atoms:
1 Pb 0.500 0.730 0.792
2 Se 0.000 0.016 0.008
3 Se 0.500 0.338 0.450
4 Zn 0.000 0.416 0.250

***

Entry 2:
Material: Zn2PbSe
Method: DFT, GGA-PBE
State: optimized geometry

D(E_F) = 1.37 states/eV/cell
space-group type = Pm, No. 6

a b c (Å): 3.849 3.852 6.529
angles (deg): 89.94 90.00 90.00
Fractional coordinates of all 4 atoms:
1 Pb 0.000 0.374 0.457
2 Se 0.500 0.876 0.840
3 Zn 0.000 0.875 0.101
4 Zn 0.500 0.375 0.101

***

Entry 3:
Material: ZnPbSe2
Method: DFT, GGA-PBE
State: optimized geometry

D(E_F) = 0.00 states/eV/cell
space-group type = I-42d, No. 122

a b c (Å): 6.529 6.529 7.394
angles (deg): 63.80 63.80 90.00
Fractional coordinates of all 8 atoms:
1 Pb 0.000 0.000 0.000
2 Pb 0.750 0.250 0.500
3 Zn 0.500 0.500 0.000
4 Zn 0.250 0.750 0.500
5 Se 0.562 0.125 0.250
6 Se 0.188 0.625 0.250
7 Se 0.375 0.438 0.750
8 Se 0.875 0.812 0.750

***

Calculated energy relative to the elements, uncorrected (kJ/mol of atoms), listed in the same order as above: -49.8, -13.9, -48.4